Entry 1:
The following is a DFT calculation (GGA-PBE) of an optimized crystal structure of Na2Sn3Sb2.

Cell and atoms, written as POSCAR:
```
Na2Sn3Sb2
1.0
5.1531 0.0000 0.0000
-2.5766 5.5039 0.0476
0.0000 -2.4826 7.5112
Na Sn Sb
2 3 2
direct
0.8440 0.6880 0.1858 Na
0.1560 0.3120 0.8142 Na
0.5000 0.0000 0.0000 Sn
0.6113 0.2225 0.4244 Sn
0.3887 0.7775 0.5756 Sn
0.8478 0.6957 0.7606 Sb
0.1522 0.3043 0.2394 Sb
```

## Properties
uncorrected formation energy: -0.74 eV per formula unit


Entry 2:
The following is a DFT calculation (GGA-PBE) of an optimized crystal structure of CaCu2SnS4.

Cell and atoms, written as POSCAR:
```
CaCu2SnS4
1.0
-4.0070 3.0405 3.0722
-4.2958 -2.3514 -3.2797
3.7393 -4.3100 3.4886
Ca Cu Sn S
1 2 1 4
direct
0.0003 0.0003 0.0005 Ca
0.7500 0.2500 0.5000 Cu
0.2500 0.7500 0.5000 Cu
0.5000 0.5000 0.9999 Sn
0.5835 0.5835 0.7082 S
0.4167 0.8751 0.2919 S
0.8751 0.4167 0.2919 S
0.1247 0.1247 0.7082 S
```

## Properties
uncorrected formation energy: -5.79 eV per formula unit


Entry 3:
The following is a DFT calculation (GGA-PBE) of an optimized crystal structure of KTl2BrF2.

Cell and atoms, written as POSCAR:
```
KTl2BrF2
1.0
-6.1651 -0.7695 -1.5743
1.7536 -5.9931 -3.9379
-1.5837 -2.4138 7.3820
K Tl Br F
2 4 2 4
direct
0.2500 0.1516 0.9562 K
0.7500 0.8484 0.0438 K
0.2500 0.0647 0.4136 Tl
0.2500 0.5928 0.7338 Tl
0.7500 0.9353 0.5864 Tl
0.7500 0.4072 0.2662 Tl
0.7500 0.3441 0.8444 Br
0.2500 0.6559 0.1556 Br
0.5042 0.1400 0.2172 F
0.9958 0.1400 0.2172 F
0.0042 0.8600 0.7828 F
0.4958 0.8600 0.7828 F
```

## Properties
uncorrected formation energy: -10.58 eV per formula unit


Q: Which of these has the highest uncorrected formation energy?
A: Na2Sn3Sb2


Q: What is the uncorrected formation energy in the second record?
A: -5.79 eV per formula unit